## CrInH (PBE-GGA)

Data for a relaxed CrInH crystal.

## Properties
DFT total energy (eV/atom): -5.117
Offset from the most stable computed form (eV per atom): 0.000

The structure in POSCAR format:
```
CrInH
1.0
-1.537 1.537 8.234
1.537 -1.537 8.234
1.537 1.537 -8.234
Cr In H
2 2 2
Cartesian
0.000 0.000 3.360
0.000 0.000 13.109
0.000 0.000 6.784
0.000 0.000 9.685
1.537 0.000 4.117
0.000 1.537 4.117
```

---

## Cr2InH (PBE-GGA)

Data for a relaxed Cr2InH crystal.

## Properties
DFT total energy (eV/atom): -5.355
Offset from the most stable computed form (eV per atom): 0.521

The structure in POSCAR format:
```
Cr2InH
1.0
0.000 3.146 3.146
3.146 0.000 3.146
3.146 3.146 0.000
Cr In H
2 1 1
Cartesian
1.573 1.573 1.573
4.719 4.719 4.719
0.000 0.000 0.000
3.146 3.146 3.146
```

---

## CrInH (PBE-GGA)

Data for a relaxed CrInH crystal.

## Properties
DFT total energy (eV/atom): -4.926
Offset from the most stable computed form (eV per atom): 0.191

The structure in POSCAR format:
```
CrInH
1.0
5.139 -1.557 0.000
5.139 1.557 0.000
-3.169 0.000 5.105
Cr In H
2 2 2
Cartesian
0.289 0.000 0.899
6.821 0.000 4.206
-0.641 0.000 3.774
7.750 0.000 1.330
2.220 0.000 3.723
4.889 0.000 1.381
```

---

## CrInH (PBE-GGA)

Data for a relaxed CrInH crystal.

## Properties
DFT total energy (eV/atom): -4.999
Offset from the most stable computed form (eV per atom): 0.118

The structure in POSCAR format:
```
CrInH
1.0
2.624 -1.496 0.000
2.624 1.496 0.000
-1.810 0.000 10.018
Cr In H
2 2 2
Cartesian
-0.019 0.000 0.961
3.456 0.000 9.057
1.727 0.000 3.504
1.710 0.000 6.514
-0.049 0.000 8.721
3.486 0.000 1.297
```

---

## Cr2InH (PBE-GGA)

Data for a relaxed Cr2InH crystal.

## Properties
DFT total energy (eV/atom): -5.876
Offset from the most stable computed form (eV per atom): 0.000

The structure in POSCAR format:
```
Cr2InH
1.0
-2.597 2.597 3.704
2.597 -2.597 3.704
2.597 2.597 -3.704
Cr In H
4 2 2
Cartesian
0.000 0.000 0.000
1.298 1.298 -1.852
1.298 -1.298 1.852
0.000 2.597 0.000
2.597 1.298 0.926
0.000 1.298 2.778
2.597 -1.298 2.778
0.000 3.895 0.926
```

---

## CrIn2H (PBE-GGA)

Data for a relaxed CrIn2H crystal.

## Properties
DFT total energy (eV/atom): -3.929
Offset from the most stable computed form (eV per atom): 0.000

The structure in POSCAR format:
```
CrIn2H
1.0
0.000 3.307 3.307
3.307 0.000 3.307
3.307 3.307 0.000
Cr In H
1 2 1
Cartesian
0.000 0.000 0.000
1.654 1.654 1.654
4.961 4.961 4.961
3.307 3.307 3.307
```

---

## CrInH (PBE-GGA)

Data for a relaxed CrInH crystal.

## Properties
DFT total energy (eV/atom): -4.914
Offset from the most stable computed form (eV per atom): 0.203

The structure in POSCAR format:
```
CrInH
1.0
-1.522 1.522 8.578
1.522 -1.522 8.578
1.522 1.522 -8.578
Cr In H
2 2 2
Cartesian
0.000 0.000 1.067
0.000 0.000 16.089
0.000 0.000 5.661
0.000 0.000 11.495
1.522 0.000 0.000
0.000 1.522 0.000
```

---

## CrInH (PBE-GGA)

Data for a relaxed CrInH crystal.

## Properties
DFT total energy (eV/atom): -5.029
Offset from the most stable computed form (eV per atom): 0.088

The structure in POSCAR format:
```
CrInH
1.0
8.785 -1.479 0.000
8.785 1.479 0.000
-0.463 0.000 2.972
Cr In H
2 2 2
Cartesian
3.587 0.000 0.565
13.521 0.000 2.407
7.174 0.000 0.969
9.933 0.000 2.002
4.999 0.000 1.496
12.109 0.000 1.476
```

---

## KCrInH2 (PBE-GGA)

Data for a relaxed KCrInH2 crystal.

## Properties
DFT total energy (eV/atom): -3.458

The structure in POSCAR format:
```
KCrInH2
1.0
4.341 0.000 0.000
0.000 4.341 0.000
0.000 0.000 5.253
K Cr In H
1 1 1 2
Cartesian
0.000 0.000 0.000
2.171 2.171 2.627
2.171 2.171 0.000
0.000 2.171 2.627
2.171 0.000 2.627
```

---

The lowest DFT total energy belongs to which entry?
number 5